## HfZn (PBE)

Data for a geometry-optimized HfZn structure.

total DFT energy (no corrections)	-5.7463	eV/atom
space group	Amm2, No. 38

abc: 4.5783 8.8380 8.8380
angles: 149.66 90.00 90.00
With the nearest neighbours (Å) after each atom.
Atoms (fractional coordinates):
Hf1 0.0000 0.0000 0.0000  8 Zn 2.75-2.77
Hf2 0.0000 0.2024 0.8155  4 Zn 2.88-2.95, 6 Hf 3.01-3.22
Hf3 0.0000 0.8155 0.2024  4 Zn 2.88-2.95, 6 Hf 3.01-3.22
Hf4 0.5000 0.3300 0.7094  4 Zn 2.85-2.90, 4 Hf 3.04-3.10
Hf5 0.5000 0.7094 0.3300  4 Zn 2.85-2.90, 4 Hf 3.04-3.10
Zn1 0.0000 0.4102 0.5896  3 Zn 2.76-3.06, 6 Hf 2.77-2.95
Zn2 0.0000 0.5896 0.4102  3 Zn 2.76-3.06, 6 Hf 2.77-2.95
Zn3 0.5000 0.1152 0.9361  6 Hf 2.75-2.90, 3 Zn 2.77-3.05
Zn4 0.5000 0.5244 0.5244  8 Zn 2.76-2.78
Zn5 0.5000 0.9361 0.1152  6 Hf 2.75-2.90, 3 Zn 2.77-3.05


## DyErIn2Pt4 (PBE)

Data for a geometry-optimized DyErIn2Pt4 structure.

total DFT energy (no corrections)	-5.8300	eV/atom
space group	P-6m2, No. 187

abc: 4.5719 4.5719 9.0092
angles: 90.00 90.00 120.00
With the nearest neighbours (Å) after each atom.
Atoms (fractional coordinates):
Dy1 0.0000 0.0000 0.0000  8 Pt 3.00-3.09
Er1 0.3333 0.6667 0.5000  8 Pt 2.99-3.07
In1 0.6667 0.3333 0.2507  6 Pt 2.77
In2 0.6667 0.3333 0.7493  6 Pt 2.77
Pt1 0.0000 0.0000 0.3433  3 In 2.77, 1 Pt 2.82, 3 Er 2.99, 1 Dy 3.09
Pt2 0.0000 0.0000 0.6567  3 In 2.77, 1 Pt 2.82, 3 Er 2.99, 1 Dy 3.09
Pt3 0.3333 0.6667 0.1589  3 In 2.77, 1 Pt 2.86, 3 Dy 3.00, 1 Er 3.07
Pt4 0.3333 0.6667 0.8411  3 In 2.77, 1 Pt 2.86, 3 Dy 3.00, 1 Er 3.07


## Lu4CuGeN2 (PBE)

Data for a geometry-optimized Lu4CuGeN2 structure.

total DFT energy (no corrections)	-6.4339	eV/atom
space group	P-6m2, No. 187

abc: 3.3872 3.3872 13.9662
angles: 90.00 90.00 120.00
With the nearest neighbours (Å) after each atom.
Atoms (fractional coordinates):
Lu1 0.0000 0.0000 0.1481  3 N 2.43
Lu2 0.0000 0.0000 0.8519  3 N 2.43
Lu3 0.6667 0.3333 0.3389  3 N 2.30
Lu4 0.6667 0.3333 0.6611  3 N 2.30
Cu1 0.6667 0.3333 0.0000  6 Lu 2.85
Ge1 0.0000 0.0000 0.5000  6 Lu 2.98
N1 0.3333 0.6667 0.2516  6 Lu 2.30-2.43
N2 0.3333 0.6667 0.7484  6 Lu 2.30-2.43


## Zr2Nb4Sn3N3 (PBE)

Data for a geometry-optimized Zr2Nb4Sn3N3 structure.

total DFT energy (no corrections)	-8.6198	eV/atom
space group	C2/c, No. 15

abc: 5.7367 5.7367 14.1673
angles: 101.62 101.62 60.16
With the nearest neighbours (Å) after each atom.
Atoms (fractional coordinates):
Zr1 0.0295 0.8592 0.5903  3 N 2.24-2.26
Zr2 0.1408 0.9705 0.9097  3 N 2.24-2.26
Zr3 0.8592 0.0295 0.0903  3 N 2.24-2.26
Zr4 0.9705 0.1408 0.4097  3 N 2.24-2.26
Nb1 0.1925 0.3662 0.0779  3 N 2.21-2.22
Nb2 0.3136 0.4667 0.4218  3 N 2.21-2.22
Nb3 0.3662 0.1925 0.5779  3 N 2.21-2.22
Nb4 0.4667 0.3136 0.9218  3 N 2.21-2.22
Nb5 0.5333 0.6864 0.0782  3 N 2.21-2.22
Nb6 0.6338 0.8075 0.4221  3 N 2.21-2.22
Nb7 0.6864 0.5333 0.5782  3 N 2.21-2.22
Nb8 0.8075 0.6338 0.9221  3 N 2.21-2.22
Sn1 0.0814 0.2762 0.7490  4 Nb 3.00-3.02, 2 Zr 3.01-3.02, 4 Sn 3.19-3.20
Sn2 0.2762 0.0814 0.2490  4 Nb 3.00-3.02, 2 Zr 3.01-3.02, 4 Sn 3.19-3.20
Sn3 0.4412 0.5588 0.7500  4 Nb 2.99, 2 Zr 3.01, 4 Sn 3.19
Sn4 0.5588 0.4412 0.2500  4 Nb 2.99, 2 Zr 3.01, 4 Sn 3.19
Sn5 0.7238 0.9186 0.7510  4 Nb 3.00-3.02, 2 Zr 3.01-3.02, 4 Sn 3.19-3.20
Sn6 0.9186 0.7238 0.2510  4 Nb 3.00-3.02, 2 Zr 3.01-3.02, 4 Sn 3.19-3.20
N1 0.0000 0.5000 0.5000  4 Nb 2.21, 2 Zr 2.26
N2 0.1601 0.6813 0.0000  4 Nb 2.21-2.22, 2 Zr 2.24
N3 0.3187 0.8399 0.5000  4 Nb 2.21-2.22, 2 Zr 2.24
N4 0.5000 0.0000 0.0000  4 Nb 2.21, 2 Zr 2.26
N5 0.6813 0.1601 0.5000  4 Nb 2.21-2.22, 2 Zr 2.24
N6 0.8399 0.3187 0.0000  4 Nb 2.21-2.22, 2 Zr 2.24


## Gd3YPt4 (PBE)

Data for a geometry-optimized Gd3YPt4 structure.

total DFT energy (no corrections)	-6.8367	eV/atom
space group	Pm, No. 6

abc: 5.5984 4.5279 7.1022
angles: 90.00 90.06 90.00
With the nearest neighbours (Å) after each atom.
Atoms (fractional coordinates):
Gd1 0.0000 0.0000 0.0000  7 Pt 2.89-3.05
Gd2 0.2201 0.0000 0.4990  7 Pt 2.89-3.06
Gd3 0.7196 0.5000 0.6353  7 Pt 2.89-3.06
Y1 0.5001 0.5000 0.1351  7 Pt 2.89-3.05
Pt1 0.0140 0.5000 0.2729  2 Y 2.89-3.04, 2 Pt 2.92, 5 Gd 2.98-3.06
Pt2 0.2061 0.5000 0.7731  6 Gd 2.89-3.04, 2 Pt 2.92, 1 Y 3.05
Pt3 0.5139 0.0000 0.8626  5 Gd 2.89-3.06, 2 Pt 2.92, 2 Y 2.98
Pt4 0.7055 0.0000 0.3611  5 Gd 2.89-3.05, 2 Pt 2.92, 2 Y 3.00


## RbNbAgAu (PBE)

Data for a geometry-optimized RbNbAgAu structure.

total DFT energy (no corrections)	-3.1942	eV/atom
offset from the most stable computed form	205	meV/atom
space group	F-43m, No. 216

abc: 7.2737 7.2737 7.2737
angles: 90.00 90.00 90.00
With the nearest neighbours (Å) after each atom.
Atoms (fractional coordinates):
Rb1 0.0000 0.0000 0.0000  4 Au 3.15, 4 Nb 3.15
Rb2 0.0000 0.5000 0.5000  4 Au 3.15, 4 Nb 3.15
Rb3 0.5000 0.0000 0.5000  4 Au 3.15, 4 Nb 3.15
Rb4 0.5000 0.5000 0.0000  4 Au 3.15, 4 Nb 3.15
Nb1 0.2500 0.2500 0.2500  4 Rb 3.15, 4 Ag 3.15
Nb2 0.2500 0.7500 0.7500  4 Rb 3.15, 4 Ag 3.15
Nb3 0.7500 0.2500 0.7500  4 Rb 3.15, 4 Ag 3.15
Nb4 0.7500 0.7500 0.2500  4 Rb 3.15, 4 Ag 3.15
Ag1 0.0000 0.0000 0.5000  4 Nb 3.15, 4 Au 3.15
Ag2 0.0000 0.5000 0.0000  4 Nb 3.15, 4 Au 3.15
Ag3 0.5000 0.0000 0.0000  4 Nb 3.15, 4 Au 3.15
Ag4 0.5000 0.5000 0.5000  4 Nb 3.15, 4 Au 3.15
Au1 0.2500 0.2500 0.7500  4 Rb 3.15, 4 Ag 3.15
Au2 0.2500 0.7500 0.2500  4 Rb 3.15, 4 Ag 3.15
Au3 0.7500 0.2500 0.2500  4 Rb 3.15, 4 Ag 3.15
Au4 0.7500 0.7500 0.7500  4 Rb 3.15, 4 Ag 3.15


## NdY2Sn3Ir2Pd (PBE)

Data for a geometry-optimized NdY2Sn3Ir2Pd structure.

total DFT energy (no corrections)	-6.6837	eV/atom
space group	Amm2, No. 38

abc: 4.0132 7.5548 7.5548
angles: 120.15 90.00 90.00
With the nearest neighbours (Å) after each atom.
Atoms (fractional coordinates):
Nd1 0.0000 0.0000 0.0000  4 Ir 3.06, 1 Pd 3.14, 6 Sn 3.19-3.40
Y1 0.0000 0.1773 0.5888  4 Ir 3.02-3.04, 1 Pd 3.09, 4 Sn 3.18-3.36
Y2 0.0000 0.5888 0.1773  4 Ir 3.02-3.04, 1 Pd 3.09, 4 Sn 3.18-3.36
Sn1 0.5000 0.3285 0.3285  2 Pd 2.78, 2 Ir 2.86
Sn2 0.5000 0.5856 0.8486  2 Ir 2.79-2.84, 2 Pd 2.83
Sn3 0.5000 0.8486 0.5856  2 Ir 2.79-2.84, 2 Pd 2.83
Ir1 0.5000 0.2567 0.9190  3 Sn 2.79-2.86, 4 Y 3.02-3.04, 2 Nd 3.06
Ir2 0.5000 0.9190 0.2567  3 Sn 2.79-2.86, 4 Y 3.02-3.04, 2 Nd 3.06
Pd1 0.0000 0.5840 0.5840  6 Sn 2.78-2.83, 2 Y 3.09


## Al15Ni3Ge4 (PBE)

Data for a geometry-optimized Al15Ni3Ge4 structure.

total DFT energy (no corrections)	-4.3617	eV/atom
space group	I-43m, No. 217

abc: 9.8998 9.8998 9.8998
angles: 109.47 109.47 109.47
With the nearest neighbours (Å) after each atom.
Atoms (fractional coordinates):
Al1 0.0000 0.1917 0.1917  4 Ge 2.66-2.73, 2 Al 2.80
Al2 0.0000 0.2445 0.5216  2 Ni 2.43, 1 Ge 2.54, 1 Al 2.72
Al3 0.0000 0.5089 0.7259  2 Ni 2.44, 1 Ge 2.63, 1 Al 2.72
Al4 0.0000 0.5216 0.2445  2 Ni 2.43, 1 Ge 2.54, 1 Al 2.72
Al5 0.0000 0.7259 0.5089  2 Ni 2.44, 1 Ge 2.63, 1 Al 2.72
Al6 0.0000 0.8083 0.8083  4 Ge 2.66-2.73, 2 Al 2.80
Al7 0.1917 0.0000 0.1917  4 Ge 2.66-2.73, 2 Al 2.80
Al8 0.1917 0.1917 0.0000  4 Ge 2.66-2.73, 2 Al 2.80
Al9 0.2169 0.4911 0.4911  2 Ni 2.44, 1 Ge 2.63, 1 Al 2.72
Al10 0.2445 0.0000 0.5216  2 Ni 2.43, 1 Ge 2.54, 1 Al 2.72
Al11 0.2445 0.5216 0.0000  2 Ni 2.43, 1 Ge 2.54, 1 Al 2.72
Al12 0.2741 0.2741 0.7831  2 Ni 2.44, 1 Ge 2.63, 1 Al 2.72
Al13 0.2741 0.7831 0.2741  2 Ni 2.44, 1 Ge 2.63, 1 Al 2.72
Al14 0.2770 0.7555 0.7555  2 Ni 2.43, 1 Ge 2.54, 1 Al 2.72
Al15 0.4784 0.4784 0.7230  2 Ni 2.43, 1 Ge 2.54, 1 Al 2.72
Al16 0.4784 0.7230 0.4784  2 Ni 2.43, 1 Ge 2.54, 1 Al 2.72
Al17 0.4911 0.2169 0.4911  2 Ni 2.44, 1 Ge 2.63, 1 Al 2.72
Al18 0.4911 0.4911 0.2169  2 Ni 2.44, 1 Ge 2.63, 1 Al 2.72
Al19 0.5089 0.0000 0.7259  2 Ni 2.44, 1 Ge 2.63, 1 Al 2.72
Al20 0.5089 0.7259 0.0000  2 Ni 2.44, 1 Ge 2.63, 1 Al 2.72
Al21 0.5216 0.0000 0.2445  2 Ni 2.43, 1 Ge 2.54, 1 Al 2.72
Al22 0.5216 0.2445 0.0000  2 Ni 2.43, 1 Ge 2.54, 1 Al 2.72
Al23 0.7230 0.4784 0.4784  2 Ni 2.43, 1 Ge 2.54, 1 Al 2.72
Al24 0.7259 0.0000 0.5089  2 Ni 2.44, 1 Ge 2.63, 1 Al 2.72
Al25 0.7259 0.5089 0.0000  2 Ni 2.44, 1 Ge 2.63, 1 Al 2.72
Al26 0.7555 0.2770 0.7555  2 Ni 2.43, 1 Ge 2.54, 1 Al 2.72
Al27 0.7555 0.7555 0.2770  2 Ni 2.43, 1 Ge 2.54, 1 Al 2.72
Al28 0.7831 0.2741 0.2741  2 Ni 2.44, 1 Ge 2.63, 1 Al 2.72
Al29 0.8083 0.0000 0.8083  4 Ge 2.66-2.73, 2 Al 2.80
Al30 0.8083 0.8083 0.0000  4 Ge 2.66-2.73, 2 Al 2.80
Ni1 0.2500 0.5000 0.7500  8 Al 2.43-2.44
Ni2 0.2500 0.7500 0.5000  8 Al 2.43-2.44
Ni3 0.5000 0.2500 0.7500  8 Al 2.43-2.44
Ni4 0.5000 0.7500 0.2500  8 Al 2.43-2.44
Ni5 0.7500 0.2500 0.5000  8 Al 2.43-2.44
Ni6 0.7500 0.5000 0.2500  8 Al 2.43-2.44
Ge1 0.0000 0.0000 0.3273  6 Al 2.54-2.66
Ge2 0.0000 0.0000 0.6634  6 Al 2.63-2.73
Ge3 0.0000 0.3273 0.0000  6 Al 2.54-2.66
Ge4 0.0000 0.6634 0.0000  6 Al 2.63-2.73
Ge5 0.3273 0.0000 0.0000  6 Al 2.54-2.66
Ge6 0.3366 0.3366 0.3366  6 Al 2.63-2.73
Ge7 0.6634 0.0000 0.0000  6 Al 2.63-2.73
Ge8 0.6727 0.6727 0.6727  6 Al 2.54-2.66


## SmLuIr (PBE)

Data for a geometry-optimized SmLuIr structure.

total DFT energy (no corrections)	-6.7751	eV/atom
offset from the most stable computed form	0	meV/atom
space group	Pnma, No. 62

abc: 7.2434 4.5389 8.7337
angles: 90.00 90.00 90.00
With the nearest neighbours (Å) after each atom.
Atoms (fractional coordinates):
Sm1 0.0128 0.2500 0.1688  3 Ir 2.90-3.05
Sm2 0.4872 0.7500 0.6688  3 Ir 2.90-3.05
Sm3 0.5128 0.2500 0.3312  3 Ir 2.90-3.05
Sm4 0.9872 0.7500 0.8312  3 Ir 2.90-3.05
Lu1 0.1408 0.2500 0.5745  4 Ir 2.81-2.99
Lu2 0.3592 0.7500 0.0745  4 Ir 2.81-2.99
Lu3 0.6408 0.2500 0.9255  4 Ir 2.81-2.99
Lu4 0.8592 0.7500 0.4255  4 Ir 2.81-2.99
Ir1 0.2464 0.7500 0.4038  4 Lu 2.81-2.99, 3 Sm 2.90-3.05
Ir2 0.2536 0.2500 0.9038  4 Lu 2.81-2.99, 3 Sm 2.90-3.05
Ir3 0.7464 0.7500 0.0962  4 Lu 2.81-2.99, 3 Sm 2.90-3.05
Ir4 0.7536 0.2500 0.5962  4 Lu 2.81-2.99, 3 Sm 2.90-3.05


## PmSiPt (PBE)

Data for a geometry-optimized PmSiPt structure.

total DFT energy (no corrections)	-5.9901	eV/atom
offset from the most stable computed form	532	meV/atom
space group	F-43m, No. 216

abc: 6.4136 6.4136 6.4136
angles: 90.00 90.00 90.00
With the nearest neighbours (Å) after each atom.
Atoms (fractional coordinates):
Pm1 0.0000 0.0000 0.0000  4 Si 2.78
Pm2 0.0000 0.5000 0.5000  4 Si 2.78
Pm3 0.5000 0.0000 0.5000  4 Si 2.78
Pm4 0.5000 0.5000 0.0000  4 Si 2.78
Si1 0.2500 0.2500 0.2500  4 Pt 2.78, 4 Pm 2.78
Si2 0.2500 0.7500 0.7500  4 Pt 2.78, 4 Pm 2.78
Si3 0.7500 0.2500 0.7500  4 Pt 2.78, 4 Pm 2.78
Si4 0.7500 0.7500 0.2500  4 Pt 2.78, 4 Pm 2.78
Pt1 0.0000 0.0000 0.5000  4 Si 2.78
Pt2 0.0000 0.5000 0.0000  4 Si 2.78
Pt3 0.5000 0.0000 0.0000  4 Si 2.78
Pt4 0.5000 0.5000 0.5000  4 Si 2.78


## CdCu2SnTeSe3 (PBE)

Data for a geometry-optimized CdCu2SnTeSe3 structure.

total DFT energy (no corrections)	-3.5740	eV/atom
space group	Cm, No. 8

abc: 8.4740 8.4674 7.2360
angles: 90.00 125.34 90.00
With the nearest neighbours (Å) after each atom.
Atoms (fractional coordinates):
Cd1 0.0000 0.0000 0.0000  3 Se 2.69-2.70, 1 Te 2.82
Cd2 0.5000 0.5000 0.0000  3 Se 2.69-2.70, 1 Te 2.82
Cu1 0.9998 0.2610 0.5184  3 Se 2.43-2.46, 1 Te 2.57
Cu2 0.9998 0.7390 0.5184  3 Se 2.43-2.46, 1 Te 2.57
Cu3 0.4998 0.2390 0.5184  3 Se 2.43-2.46, 1 Te 2.57
Cu4 0.4998 0.7610 0.5184  3 Se 2.43-2.46, 1 Te 2.57
Sn1 0.4811 0.0000 0.0018  3 Se 2.62-2.63, 1 Te 2.80
Sn2 0.9811 0.5000 0.0018  3 Se 2.62-2.63, 1 Te 2.80
Te1 0.3853 0.5000 0.2962  2 Cu 2.57, 1 Sn 2.80, 1 Cd 2.82
Te2 0.8853 0.0000 0.2962  2 Cu 2.57, 1 Sn 2.80, 1 Cd 2.82
Se1 0.3538 0.2442 0.7274  2 Cu 2.45-2.46, 1 Sn 2.63, 1 Cd 2.70
Se2 0.3538 0.7558 0.7274  2 Cu 2.45-2.46, 1 Sn 2.63, 1 Cd 2.70
Se3 0.3880 0.0000 0.2893  2 Cu 2.43, 1 Sn 2.62, 1 Cd 2.69
Se4 0.8538 0.2558 0.7274  2 Cu 2.45-2.46, 1 Sn 2.63, 1 Cd 2.70
Se5 0.8538 0.7442 0.7274  2 Cu 2.45-2.46, 1 Sn 2.63, 1 Cd 2.70
Se6 0.8880 0.5000 0.2893  2 Cu 2.43, 1 Sn 2.62, 1 Cd 2.69


## LaZn2Ni2 (PBE)

Data for a geometry-optimized LaZn2Ni2 structure.

total DFT energy (no corrections)	-4.0765	eV/atom
space group	I4/mmm, No. 139

abc: 3.9782 3.9782 10.9039
angles: 90.00 90.00 90.00
With the nearest neighbours (Å) after each atom.
Atoms (fractional coordinates):
La1 0.0000 0.0000 0.0000  8 Ni 3.06, 8 Zn 3.37
La2 0.5000 0.5000 0.5000  8 Ni 3.06, 8 Zn 3.37
Zn1 0.0000 0.5000 0.2500  4 Ni 2.51
Zn2 0.0000 0.5000 0.7500  4 Ni 2.51
Zn3 0.5000 0.0000 0.2500  4 Ni 2.51
Zn4 0.5000 0.0000 0.7500  4 Ni 2.51
Ni1 0.0000 0.0000 0.3897  1 Ni 2.40, 4 Zn 2.51
Ni2 0.0000 0.0000 0.6103  1 Ni 2.40, 4 Zn 2.51
Ni3 0.5000 0.5000 0.1103  1 Ni 2.40, 4 Zn 2.51
Ni4 0.5000 0.5000 0.8897  1 Ni 2.40, 4 Zn 2.51


Question: Which of these has the lowest total DFT energy (no corrections)?
Answer: Zr2Nb4Sn3N3